The following is a PBE with a Hubbard U calculation of crystalline PuMnIrO6 at its relaxed geometry, from the Alexandria database.

- Electronic total energy: -8.47 eV/atom
- Symmetry: P-31c (163)

a b c (Å): 5.1902 5.1902 9.5798
angles (deg): 90.00 90.00 120.00
Positions (direct):
Pu 0.3333 0.6667 0.2500
Pu 0.6667 0.3333 0.7500
Mn 0.0000 0.0000 0.0000
Mn 0.0000 0.0000 0.5000
Ir 0.6667 0.3333 0.2500
Ir 0.3333 0.6667 0.7500
O 0.6660 0.6539 0.1304
O 0.9879 0.3340 0.1304
O 0.3340 0.9879 0.6304
O 0.0121 0.6660 0.8696
O 0.3461 0.3340 0.3696
O 0.9879 0.6539 0.3696
O 0.6539 0.9879 0.8696
O 0.6660 0.0121 0.3696
O 0.0121 0.3461 0.6304
O 0.3461 0.0121 0.1304
O 0.6539 0.6660 0.6304
O 0.3340 0.3461 0.8696

***

The following is a PBE with a Hubbard U calculation of crystalline Rb2MnIrO6 at its relaxed geometry, from the Alexandria database.

- Electronic total energy: -5.87 eV/atom
- Symmetry: Fm-3m (225)

a b c (Å): 5.8361 5.8361 5.8361
angles (deg): 60.00 60.00 60.00
Positions (direct):
Rb 0.7500 0.7500 0.7500
Rb 0.2500 0.2500 0.2500
Mn 0.5000 0.5000 0.5000
Ir 0.0000 0.0000 0.0000
O 0.2311 0.7689 0.7689
O 0.2311 0.7689 0.2311
O 0.2311 0.2311 0.7689
O 0.7689 0.7689 0.2311
O 0.7689 0.2311 0.2311
O 0.7689 0.2311 0.7689

***

Results for DOS(E_F): 0.454; 0.357 (in states/eV per atom, following the order of the records).